Material: Mg2ZnSe
Method: DFT, GGA-PBE
State: relaxed

## Properties
ΔE_f (raw) = -0.263 eV per atom
final energy = -2.249 eV per atom

Geometry as POSCAR:
```
Mg2ZnSe
1.0
-1.8387 2.7394 4.2328
1.8387 -2.7394 4.2328
1.8387 2.7394 -4.2328
Mg Zn Se
2 1 1
Cartesian
0.0000 0.0000 1.9643
0.0000 0.0000 6.5014
0.0000 2.7394 0.0000
1.8387 0.0000 0.0000
```

---

Material: Mg2ZnSe
Method: DFT, GGA-PBE
State: relaxed

## Properties
ΔE_f (raw) = -0.402 eV per atom
final energy = -2.389 eV per atom

Geometry as POSCAR:
```
Mg2ZnSe
1.0
3.7275 0.0000 0.0000
-1.8637 3.2281 0.0000
0.0000 0.0000 14.5978
Mg Zn Se
4 2 2
Cartesian
0.0000 2.1521 1.9995
0.0000 2.1521 5.2994
1.8637 1.0760 9.2984
1.8637 1.0760 12.5983
0.0000 0.0000 0.0000
0.0000 0.0000 7.2989
0.0000 2.1521 10.9483
1.8637 1.0760 3.6494
```

---

Material: Mg6Zn6Se
Method: DFT, GGA-PBE
State: relaxed

## Properties
ΔE_f (raw) = 0.103 eV per atom
final energy = -1.489 eV per atom

Geometry as POSCAR:
```
Mg6Zn6Se
1.0
5.9252 0.0000 0.0000
-2.9626 5.1313 0.0000
0.0000 0.0000 8.8597
Mg Zn Se
6 6 1
Cartesian
-1.4813 2.5657 2.2088
-1.4813 2.5657 6.6510
2.9626 0.0000 2.2088
2.9626 0.0000 6.6510
1.4813 2.5657 2.2088
1.4813 2.5657 6.6510
0.0000 0.0000 1.3219
0.0000 0.0000 7.5378
0.0000 3.4209 0.0000
0.0000 3.4209 4.4299
2.9626 1.7104 0.0000
2.9626 1.7104 4.4299
0.0000 0.0000 4.4299
```

---

Material: MgZn2Se3
Method: DFT, GGA-PBE
State: relaxed

## Properties
ΔE_f (raw) = -0.558 eV per atom
final energy = -2.991 eV per atom

Geometry as POSCAR:
```
MgZn2Se3
1.0
5.6223 -3.6288 0.0000
5.6223 3.6288 0.0000
0.0000 0.0000 6.6208
Mg Zn Se
2 4 6
Cartesian
5.6223 3.1900 4.9656
5.6223 -3.1900 1.6552
3.6137 0.0000 0.0000
3.6137 0.0000 3.3104
7.6309 0.0000 0.0000
7.6309 0.0000 3.3104
2.0160 1.1111 4.9656
2.0160 -1.1111 1.6552
5.6223 0.6944 4.9656
5.6223 -0.6944 1.6552
9.2286 1.1111 4.9656
9.2286 -1.1111 1.6552
```